Entry 1:
Computed, not measured: SmDyEr3Th after structural relaxation at the PBE-GGA level of DFT.

Calculated values
- DOS(E_F) (states/eV/cell) = 16.460
- size of the total moment (μB per formula unit) = 0.00
- formation enthalpy at 0 K (meV per atom) = 22

a b c (Å): 10.6057 3.5543 10.6284
angles (deg): 90.00 109.15 90.00
Space group P2_1/m (No. 11)
Asymmetric unit:
1 Sm 0.2087 0.2500 0.3743 [2 per cell]
2 Dy 0.1263 0.7500 0.6289 [2 per cell]
3 Er 0.0428 0.2500 0.8757 [2 per cell]
4 Er 0.2935 0.7500 0.1205 [2 per cell]
5 Er 0.4588 0.7500 0.6287 [2 per cell]
6 Th 0.3768 0.2500 0.8752 [2 per cell]

Entry 2:
Computed, not measured: NdTh2In3 after structural relaxation at the PBE-GGA level of DFT.

Calculated values
- DOS(E_F) (states/eV/cell) = 6.476
- size of the total moment (μB per formula unit) = 0.00
- formation enthalpy at 0 K (meV per atom) = -351

a b c (Å): 3.5387 3.5387 13.7288
angles (deg): 90.00 90.00 90.00
Space group P4/mmm (No. 123)
Asymmetric unit:
1 Nd 0.0000 0.0000 0.0000 [1 per cell]
2 Th 0.0000 0.0000 0.3326 [2 per cell]
3 In 0.5000 0.5000 0.1652 [2 per cell]
4 In 0.5000 0.5000 0.5000 [1 per cell]

Entry 3:
Computed, not measured: Mg4Sc3Hg after structural relaxation at the PBE-GGA level of DFT.

Calculated values
- DOS(E_F) (states/eV/cell) = 20.591
- size of the total moment (μB per formula unit) = 0.79
- formation enthalpy at 0 K (meV per atom) = -55

a b c (Å): 21.4512 5.1062 3.4184
angles (deg): 90.00 99.05 90.00
Space group C2/m (No. 12)
Asymmetric unit:
1 Mg 0.1100 0.0000 0.1093 [4 per cell]
2 Mg 0.2330 0.0000 0.7341 [4 per cell]
3 Sc 0.0000 0.5000 0.0000 [2 per cell]
4 Sc 0.1319 0.5000 0.6304 [4 per cell]
5 Hg 0.0000 0.0000 0.5000 [2 per cell]

Entry 4:
Computed, not measured: Mn2CdBr after structural relaxation at the PBE-GGA level of DFT.

Calculated values
- DOS(E_F) (states/eV/cell) = 5.537
- energy relative to the elements, uncorrected (eV per atom) = 0.25
- excess energy over the best structure of this formula in the dataset (meV per atom) = 43
- size of the total moment (μB per formula unit) = 7.84

a b c (Å): 9.5303 3.1943 7.8262
angles (deg): 90.00 124.70 90.00
Space group C2/m (No. 12)
Asymmetric unit:
1 Mn 0.1475 0.0000 0.3357 [4 per cell]
2 Cd 0.0000 0.5000 0.5000 [2 per cell]
3 Br 0.0000 0.5000 0.0000 [2 per cell]

Entry 5:
Computed, not measured: CdTcPSe2 after structural relaxation at the PBE-GGA level of DFT.

Calculated values
- DOS(E_F) (states/eV/cell) = 3.415
- energy relative to the elements, uncorrected (eV per atom) = 1.36
- size of the total moment (μB per formula unit) = 3.14

a b c (Å): 5.2271 5.2271 4.8720
angles (deg): 90.00 90.00 90.00
Space group P4/mmm (No. 123)
Asymmetric unit:
1 Cd 0.0000 0.0000 0.0000 [1 per cell]
2 Tc 0.5000 0.5000 0.5000 [1 per cell]
3 P 0.0000 0.0000 0.5000 [1 per cell]
4 Se 0.0000 0.5000 0.0000 [2 per cell]

Entry 6:
Computed, not measured: PRh2Cl2 after structural relaxation at the PBE-GGA level of DFT.

Calculated values
- DOS(E_F) (states/eV/cell) = 11.984
- energy relative to the elements, uncorrected (eV per atom) = 0.72
- size of the total moment (μB per formula unit) = 0.01

a b c (Å): 3.9515 3.9515 11.3130
angles (deg): 90.00 90.00 90.00
Space group I4/mmm (No. 139)
Asymmetric unit:
1 P 0.0000 0.0000 0.0000 [2 per cell]
2 Rh 0.0000 0.0000 0.3926 [4 per cell]
3 Cl 0.0000 0.5000 0.2500 [4 per cell]